## TaNi2Pb (GGA-PBE)

Data for TaNi2Pb after structural relaxation.

a b c (Å): 4.6168 4.6168 4.8926
angles (deg): 101.33 101.33 40.86
Positions (direct):
Ta (0.0000, 0.0000, 0.0000)
Ni (0.2666, 0.2666, 0.8490)
Ni (0.5256, 0.5256, 0.6170)
Pb (0.7723, 0.7723, 0.3700)

Computed properties:
Size of the total moment: 0.00 Bohr magnetons per cell
E_form: 0.210 eV per atom



## Tb2NiPb (GGA-PBE)

Data for Tb2NiPb after structural relaxation.

a b c (Å): 9.7265 9.7265 9.7265
angles (deg): 22.70 22.70 22.70
Positions (direct):
Tb (0.1130, 0.1130, 0.1130)
Tb (0.8870, 0.8870, 0.8870)
Ni (0.5000, 0.5000, 0.5000)
Pb (0.0000, 0.0000, 0.0000)

Computed properties:
Size of the total moment: 0.00 Bohr magnetons per cell
E_form: -0.104 eV per atom



## Tb6Ni2Pb (GGA-PBE)

Data for Tb6Ni2Pb after structural relaxation.

a b c (Å): 8.5133 8.5133 8.5133
angles (deg): 113.39 109.07 106.05
Positions (direct):
Tb (0.0234, 0.2304, 0.7929)
Tb (0.1821, 0.2949, 0.4770)
Tb (0.1821, 0.7051, 0.8872)
Tb (0.3248, 0.0147, 0.6899)
Tb (0.3248, 0.6348, 0.3101)
Tb (0.4375, 0.2304, 0.2071)
Tb (0.5625, 0.7696, 0.7929)
Tb (0.6752, 0.3652, 0.6899)
Tb (0.6752, 0.9853, 0.3101)
Tb (0.8179, 0.2949, 0.1128)
Tb (0.8179, 0.7051, 0.5230)
Tb (0.9766, 0.7696, 0.2071)
Ni (0.1232, 0.6232, 0.5000)
Ni (0.3553, 0.0000, 0.3553)
Ni (0.6447, 0.0000, 0.6447)
Ni (0.8768, 0.3768, 0.5000)
Pb (0.0000, 0.0000, 0.0000)
Pb (0.5000, 0.5000, 0.0000)

Computed properties:
Size of the total moment: 0.00 Bohr magnetons per cell
E_form: -0.340 eV per atom



## Tb7Ni2Pb2 (GGA-PBE)

Data for Tb7Ni2Pb2 after structural relaxation.

a b c (Å): 6.8755 6.8755 7.0862
angles (deg): 90.00 90.00 108.20
Positions (direct):
Tb (0.0000, 0.0000, 0.0000)
Tb (0.0000, 0.5000, 0.2402)
Tb (0.0000, 0.5000, 0.7598)
Tb (0.5000, 0.0000, 0.2402)
Tb (0.5000, 0.0000, 0.7598)
Tb (0.5000, 0.5000, 0.2252)
Tb (0.5000, 0.5000, 0.7748)
Ni (0.2890, 0.7110, 0.0000)
Ni (0.7110, 0.2890, 0.0000)
Pb (0.1877, 0.1877, 0.5000)
Pb (0.8123, 0.8123, 0.5000)

Computed properties:
Size of the total moment: 0.00 Bohr magnetons per cell
E_form: -0.231 eV per atom